Compound: AcLa2Pr4Nd
Source: the Alexandria database
Functional: GGA-PBE
Structure: optimized geometry

Cell lengths 5.3067, 5.3273, 10.5653 Å; angles 90.00, 90.14, 90.00 degrees
With the nearest neighbours (Å) after each atom.
Element x y z (fractional)
Ac: 0.0000 0.0000 0.0000  4 La 3.76, 8 Pr 3.78-3.79
La: 0.0000 0.0000 0.5000  8 Pr 3.70-3.71, 4 Nd 3.76
La: 0.5000 0.5000 0.0000  4 Ac 3.76, 8 Pr 3.78-3.79
Pr: 0.0006 0.5000 0.2554  2 Nd 3.70-3.71, 4 La 3.71-3.79, 4 Pr 3.76, 2 Ac 3.79
Pr: 0.4995 0.0000 0.7446  4 La 3.70-3.79, 2 Nd 3.71, 4 Pr 3.76, 2 Ac 3.78-3.79
Pr: 0.5005 0.0000 0.2554  4 La 3.70-3.79, 2 Nd 3.71, 4 Pr 3.76, 2 Ac 3.78-3.79
Pr: 0.9994 0.5000 0.7446  2 Nd 3.70-3.71, 4 La 3.71-3.79, 4 Pr 3.76, 2 Ac 3.79
Nd: 0.5000 0.5000 0.5000  8 Pr 3.70-3.71, 4 La 3.76

Calculated values
- Crystal system: monoclinic
- Volume: 37.34 Å³/atom
- Energy: -37.728 eV per cell
- Energy of formation from the pure elements: 0.02 eV per atom
- Space-group type: P2/m (10)

***

Compound: LiCeGdPt
Source: the Alexandria database
Functional: GGA-PBE
Structure: optimized geometry

Cell lengths 5.0611, 5.0611, 5.0611 Å; angles 60.00, 60.00, 60.00 degrees
With the nearest neighbours (Å) after each atom.
Element x y z (fractional)
Li: 0.0000 0.0000 0.0000  4 Gd 3.10, 4 Ce 3.10
Ce: 0.7500 0.7500 0.7500  4 Li 3.10, 4 Pt 3.10
Gd: 0.2500 0.2500 0.2500  4 Li 3.10, 4 Pt 3.10
Pt: 0.5000 0.5000 0.5000  4 Gd 3.10, 4 Ce 3.10

Calculated values
- Crystal system: cubic
- Volume: 22.92 Å³/atom
- Energy: -29.958 eV per cell
- Energy of formation from the pure elements: -0.50 eV per atom
- Space-group type: F-43m (216)

***

Compound: Ac2BeSiRh6
Source: the Alexandria database
Functional: GGA-PBE
Structure: optimized geometry

Cell lengths 6.3472, 6.3472, 6.3472 Å; angles 120.07, 119.91, 90.01 degrees
With the nearest neighbours (Å) after each atom.
Element x y z (fractional)
Ac: 0.2501 0.2501 0.0000  12 Rh 3.17-3.18
Ac: 0.7499 0.7499 0.0000  12 Rh 3.17-3.18
Be: 0.5000 0.0000 0.5000  6 Rh 2.18
Si: 0.0000 0.5000 0.5000  6 Rh 2.30
Rh: 0.2566 0.2431 0.4997  1 Be 2.18, 1 Si 2.30
Rh: 0.2566 0.7569 0.0135  1 Be 2.18, 1 Si 2.30
Rh: 0.2568 0.7568 0.5000  1 Be 2.18, 1 Si 2.30
Rh: 0.7432 0.2432 0.5000  1 Be 2.18, 1 Si 2.30
Rh: 0.7434 0.2431 0.9865  1 Be 2.18, 1 Si 2.30
Rh: 0.7434 0.7569 0.5003  1 Be 2.18, 1 Si 2.30

Calculated values
- Formation energy without anion corrections: -0.61 eV per atom
- Crystal system: orthorhombic
- Volume: 18.08 Å³/atom
- Energy: -67.576 eV per cell
- Space-group type: Immm (71)

***

Compound: Sr2PuThP4
Source: the Alexandria database
Functional: GGA-PBE
Structure: optimized geometry

Cell lengths 7.2798, 4.2182, 7.3831 Å; angles 90.00, 109.33, 90.00 degrees
With the nearest neighbours (Å) after each atom.
Element x y z (fractional)
Sr: 0.0000 0.0000 0.0000  6 P 3.09-3.10
Sr: 0.5000 0.5000 0.0000  6 P 3.14-3.16
Pu: 0.0000 0.5000 0.5000  6 P 2.83-2.84
Th: 0.5000 0.0000 0.5000  6 P 2.90
P: 0.2303 0.0000 0.7142  2 Pu 2.83, 1 Th 2.90, 3 Sr 3.10-3.16
P: 0.2534 0.5000 0.2782  1 Pu 2.84, 2 Th 2.90, 3 Sr 3.09-3.14
P: 0.7466 0.5000 0.7218  1 Pu 2.84, 2 Th 2.90, 3 Sr 3.09-3.14
P: 0.7697 0.0000 0.2858  2 Pu 2.83, 1 Th 2.90, 3 Sr 3.10-3.16

Calculated values
- Crystal system: monoclinic
- Volume: 26.74 Å³/atom
- Energy: -56.384 eV per cell
- Energy of formation from the pure elements: -1.20 eV per atom
- Space-group type: P2/m (10)

***

Compound: In2Te2Pd
Source: the Alexandria database
Functional: GGA-PBE
Structure: optimized geometry

Cell lengths 7.5297, 7.5297, 4.9977 Å; angles 90.00, 90.00, 90.00 degrees
With the nearest neighbours (Å) after each atom.
Element x y z (fractional)
In: 0.1471 0.3529 0.0000  6 Te 3.13-3.49, 1 In 3.13
In: 0.3529 0.8529 0.0000  6 Te 3.13-3.49, 1 In 3.13
In: 0.6471 0.1471 0.0000  6 Te 3.13-3.49, 1 In 3.13
In: 0.8529 0.6471 0.0000  6 Te 3.13-3.49, 1 In 3.13
Te: 0.1758 0.6758 0.5000  2 Pd 2.78
Te: 0.3242 0.1758 0.5000  2 Pd 2.78
Te: 0.6758 0.8242 0.5000  2 Pd 2.78
Te: 0.8242 0.3242 0.5000  2 Pd 2.78
Pd: 0.0000 0.0000 0.5000  4 Te 2.78
Pd: 0.5000 0.5000 0.5000  4 Te 2.78

Calculated values
- Formation energy without anion corrections: -0.07 eV per atom
- Crystal system: tetragonal
- Volume: 28.33 Å³/atom
- Energy: -34.638 eV per cell
- Space-group type: P4/mbm (127)

***

Compound: CsNa2NiGe
Source: the Alexandria database
Functional: GGA-PBE
Structure: optimized geometry

Cell lengths 5.6765, 5.6765, 4.5509 Å; angles 90.00, 90.00, 90.00 degrees
With the nearest neighbours (Å) after each atom.
Element x y z (fractional)
Cs: 0.0000 0.0000 0.0000  8 Na 3.64, 4 Ge 4.01
Na: 0.0000 0.5000 0.5000  2 Ni 2.84
Na: 0.5000 0.0000 0.5000  2 Ni 2.84
Ni: 0.5000 0.5000 0.5000  2 Ge 2.28
Ge: 0.5000 0.5000 0.0000  2 Ni 2.28

Calculated values
- Crystal system: tetragonal
- Volume: 29.33 Å³/atom
- Energy: -13.657 eV per cell
- Energy of formation from the pure elements: 0.05 eV per atom
- Space-group type: P4/mmm (123)

***

What did the sixth record say?
Compound: CsNa2NiGe
Source: the Alexandria database
Functional: GGA-PBE
Structure: optimized geometry

Cell lengths 5.6765, 5.6765, 4.5509 Å; angles 90.00, 90.00, 90.00 degrees
With the nearest neighbours (Å) after each atom.
Element x y z (fractional)
Cs: 0.0000 0.0000 0.0000  8 Na 3.64, 4 Ge 4.01
Na: 0.0000 0.5000 0.5000  2 Ni 2.84
Na: 0.5000 0.0000 0.5000  2 Ni 2.84
Ni: 0.5000 0.5000 0.5000  2 Ge 2.28
Ge: 0.5000 0.5000 0.0000  2 Ni 2.28

Calculated values
- Crystal system: tetragonal
- Volume: 29.33 Å³/atom
- Energy: -13.657 eV per cell
- Energy of formation from the pure elements: 0.05 eV per atom
- Space-group type: P4/mmm (123)

***

Which of these has the highest volume? AcLa2Pr4Nd

***

What is the formula in the second record? LiCeGdPt

***

Among the records above, which one has the lowest volume? Ac2BeSiRh6